(1)
# Mn2TeI

A relaxed Mn2TeI crystal (PBE, Alexandria).

Structure (POSCAR):
```
Mn2TeI
1.0
-4.196 -1.712 0.738
-3.277 2.656 1.814
-3.531 1.381 -2.590
I Mn Te
1 2 1
Direct
0.500 0.500 0.500
0.750 0.750 0.750
0.250 0.250 0.250
0.000 0.000 0.000
```

Computed properties:
Crystal system: cubic
ΔE to the lowest computed polymorph: 15.3 kJ per mole of atoms
Final energy: -0.1769 Ha/atom
Formation energy without anion corrections: 0.94 eV/atom
Symmetry: No. 225

(2)
# MnTe3I

A relaxed MnTe3I crystal (PBE, Alexandria).

Structure (POSCAR):
```
MnTe3I
1.0
-3.297 3.878 -0.557
-2.906 -2.908 -3.052
-2.628 -1.649 4.073
I Te Mn
1 3 1
Direct
0.500 0.500 0.500
0.000 0.500 0.000
0.000 0.000 0.500
0.500 0.000 0.000
0.000 0.000 0.000
```

Computed properties:
Crystal system: cubic
ΔE to the lowest computed polymorph: 0.0 kJ per mole of atoms
Final energy: -0.1332 Ha/atom
Formation energy without anion corrections: 0.40 eV/atom
Symmetry: No. 221